(1)
A plane-wave DFT calculation with GGA-PBEsol was carried out for a geometry-optimized Ba3C structure.

a b c (Å): 9.3218 9.3218 3.8568
angles (deg): 90.00 90.00 102.23
Fractional coordinates of all 8 atoms:
Ba 0.1451 0.8549 0.7500
Ba 0.2126 0.4928 0.7500
Ba 0.4928 0.2126 0.2500
Ba 0.5072 0.7874 0.7500
Ba 0.7874 0.5072 0.2500
Ba 0.8549 0.1451 0.2500
C 0.2839 0.7161 0.2500
C 0.7161 0.2839 0.7500

Computed properties:
- space group = Cmcm
- energy above the most stable polymorph in this dataset (meV/atom) = 0
- energy of formation from the pure elements (eV/f.u.) = 1.6

***

(2)
A plane-wave DFT calculation with GGA-PBEsol was carried out for a geometry-optimized Be2CoPdI structure.

a b c (Å): 4.0409 4.0409 4.8158
angles (deg): 90.00 90.00 90.00
Fractional coordinates of all 5 atoms:
Be 0.0000 0.5000 0.0000
Be 0.5000 0.0000 0.0000
Co 0.0000 0.0000 0.0000
Pd 0.5000 0.5000 0.5000
I 0.0000 0.0000 0.5000

Computed properties:
- energy relative to the elements, uncorrected (eV per atom) = 0.762
- space group = P4/mmm

***

(3)
A plane-wave DFT calculation with GGA-PBEsol was carried out for a geometry-optimized FeCo structure.

a b c (Å): 3.9459 3.9459 3.9459
angles (deg): 60.00 60.00 60.00
Fractional coordinates of all 4 atoms:
Fe 0.1250 0.1250 0.1250
Fe 0.8750 0.8750 0.8750
Co 0.3750 0.3750 0.3750
Co 0.6250 0.6250 0.6250

Computed properties:
- space group = Fd-3m
- energy of formation from the pure elements (eV/f.u.) = 0.1

***

(4)
A plane-wave DFT calculation with GGA-PBEsol was carried out for a geometry-optimized BaZrOs2 structure.

a b c (Å): 4.9035 4.9035 3.3609
angles (deg): 90.00 90.00 90.00
Fractional coordinates of all 4 atoms:
Ba 0.0000 0.0000 0.0000
Zr 0.5000 0.5000 0.0000
Os 0.0000 0.5000 0.5000
Os 0.5000 0.0000 0.5000

Computed properties:
- space group = P4/mmm
- energy above the most stable polymorph in this dataset (meV/atom) = 13
- energy of formation from the pure elements (eV/f.u.) = 3.7

***

(5)
A plane-wave DFT calculation with GGA-PBEsol was carried out for a geometry-optimized Li2BeIr structure.

a b c (Å): 2.9616 2.9616 6.2274
angles (deg): 90.00 90.00 90.00
Fractional coordinates of all 4 atoms:
Li 0.0000 0.0000 0.0000
Li 0.5000 0.5000 0.3401
Be 0.0000 0.0000 0.6187
Ir 0.5000 0.5000 0.7456

Computed properties:
- space group = P4mm
- energy of formation from the pure elements (eV/f.u.) = -0.8

***

(6)
A plane-wave DFT calculation with GGA-PBEsol was carried out for a geometry-optimized Fe6MoW structure.

a b c (Å): 6.1659 6.1659 10.0672
angles (deg): 90.00 90.00 109.43
Fractional coordinates of all 32 atoms:
Fe 0.0000 0.0000 0.0000
Fe 0.0000 0.0000 0.5000
Fe 0.1241 0.3746 0.1246
Fe 0.1241 0.3746 0.8754
Fe 0.1246 0.3741 0.3746
Fe 0.1246 0.3741 0.6254
Fe 0.2495 0.7505 0.2493
Fe 0.2495 0.7505 0.7507
Fe 0.3741 0.1246 0.3746
Fe 0.3741 0.1246 0.6254
Fe 0.3746 0.1241 0.1246
Fe 0.3746 0.1241 0.8754
Fe 0.5000 0.5000 0.0000
Fe 0.5000 0.5000 0.5000
Fe 0.6254 0.8759 0.1246
Fe 0.6254 0.8759 0.8754
Fe 0.6259 0.8754 0.3746
Fe 0.6259 0.8754 0.6254
Fe 0.7505 0.2495 0.2493
Fe 0.7505 0.2495 0.7507
Fe 0.8754 0.6259 0.3746
Fe 0.8754 0.6259 0.6254
Fe 0.8759 0.6254 0.1246
Fe 0.8759 0.6254 0.8754
Mo 0.0000 0.0000 0.2500
Mo 0.0000 0.0000 0.7500
Mo 0.2500 0.7500 0.0000
Mo 0.7500 0.2500 0.0000
W 0.2501 0.7499 0.5000
W 0.5000 0.5000 0.2499
W 0.5000 0.5000 0.7501
W 0.7499 0.2501 0.5000

Computed properties:
- space group = Cmmm
- energy of formation from the pure elements (eV/f.u.) = 0.2

***

(7)
A plane-wave DFT calculation with GGA-PBEsol was carried out for a geometry-optimized RbTe2IN structure.

a b c (Å): 4.6039 4.6039 7.8136
angles (deg): 90.00 90.00 90.00
Fractional coordinates of all 5 atoms:
Rb 0.0000 0.0000 0.0000
Te 0.0000 0.5000 0.5000
Te 0.5000 0.0000 0.5000
I 0.5000 0.5000 0.0000
N 0.5000 0.5000 0.5000

Computed properties:
- energy relative to the elements, uncorrected (eV per atom) = 0.196
- space group = P4/mmm

***

(8)
A plane-wave DFT calculation with GGA-PBEsol was carried out for a geometry-optimized BSbAsSe2 structure.

a b c (Å): 4.5115 4.5115 4.4269
angles (deg): 90.00 90.00 90.00
Fractional coordinates of all 5 atoms:
B 0.0000 0.0000 0.0000
Sb 0.5000 0.5000 0.5000
As 0.0000 0.0000 0.5000
Se 0.0000 0.5000 0.0000
Se 0.5000 0.0000 0.0000

Computed properties:
- energy relative to the elements, uncorrected (eV per atom) = 0.505
- space group = P4/mmm

***

(9)
A plane-wave DFT calculation with GGA-PBEsol was carried out for a geometry-optimized CuPW3 structure.

a b c (Å): 4.3870 4.3870 4.3870
angles (deg): 90.00 90.00 90.00
Fractional coordinates of all 5 atoms:
Cu 0.0000 0.0000 0.0000
P 0.5000 0.5000 0.5000
W 0.0000 0.5000 0.5000
W 0.5000 0.0000 0.5000
W 0.5000 0.5000 0.0000

Computed properties:
- space group = Pm-3m
- energy of formation from the pure elements (eV/f.u.) = 6.0

***

(10)
A plane-wave DFT calculation with GGA-PBEsol was carried out for a geometry-optimized MnSb4Pt structure.

a b c (Å): 5.9450 5.9450 5.9450
angles (deg): 60.00 60.00 60.00
Fractional coordinates of all 6 atoms:
Mn 0.0000 0.0000 0.0000
Sb 0.1260 0.6247 0.6247
Sb 0.6247 0.1260 0.6247
Sb 0.6247 0.6247 0.1260
Sb 0.6247 0.6247 0.6247
Pt 0.2500 0.2500 0.2500

Computed properties:
- energy relative to the elements, uncorrected (eV per atom) = 0.873
- space group = F-43m

***

(11)
A plane-wave DFT calculation with GGA-PBEsol was carried out for a geometry-optimized Fe2CoNi structure.

a b c (Å): 4.2431 4.2431 4.2431
angles (deg): 130.64 130.64 72.39
Fractional coordinates of all 4 atoms:
Fe 0.2500 0.7500 0.5000
Fe 0.7500 0.2500 0.5000
Co 0.0000 0.0000 0.0000
Ni 0.5000 0.5000 0.0000

Computed properties:
- space group = I4/mmm
- energy above the most stable polymorph in this dataset (meV/atom) = 0
- energy of formation from the pure elements (eV/f.u.) = 0.1

***

(12)
A plane-wave DFT calculation with GGA-PBEsol was carried out for a geometry-optimized Zr2Zn structure.

a b c (Å): 8.7228 8.7228 8.7228
angles (deg): 60.00 60.00 60.00
Fractional coordinates of all 24 atoms:
Zr 0.0000 0.0000 0.0000
Zr 0.0000 0.0000 0.5000
Zr 0.0000 0.5000 0.0000
Zr 0.1877 0.1877 0.5623
Zr 0.1877 0.5623 0.1877
Zr 0.1877 0.5623 0.5623
Zr 0.4377 0.4377 0.8123
Zr 0.4377 0.8123 0.4377
Zr 0.4377 0.8123 0.8123
Zr 0.5000 0.0000 0.0000
Zr 0.5623 0.1877 0.1877
Zr 0.5623 0.1877 0.5623
Zr 0.5623 0.5623 0.1877
Zr 0.8123 0.4377 0.4377
Zr 0.8123 0.4377 0.8123
Zr 0.8123 0.8123 0.4377
Zn 0.1427 0.7858 0.7858
Zn 0.2142 0.2142 0.2142
Zn 0.2142 0.2142 0.8573
Zn 0.2142 0.8573 0.2142
Zn 0.7858 0.1427 0.7858
Zn 0.7858 0.7858 0.1427
Zn 0.7858 0.7858 0.7858
Zn 0.8573 0.2142 0.2142

Computed properties:
- space group = Fd-3m
- energy of formation from the pure elements (eV/f.u.) = -0.4

***

| no. | VASP energy (eV/cell) |
| --- | --- |
| 1 | -28.89 |
| 2 | -19.65 |
| 3 | -33.22 |
| 4 | -31.96 |
| 5 | -18.51 |
| 6 | -316.50 |
| 7 | -17.39 |
| 8 | -21.86 |
| 9 | -45.51 |
| 10 | -29.72 |
| 11 | -31.76 |
| 12 | -161.16 |